Material: TiBe3Ir
Method: DFT, GGA-PBE
State: optimized geometry

Lattice parameters (Å, degrees): 4.126 4.126 4.126 90.00 90.00 90.00
Fractional positions:
Be  0.000  0.500  0.000
Be  0.000  0.000  0.500
Be  0.500  0.000  0.000
Ir  0.000  0.000  0.000
Ti  0.500  0.500  0.500

Energy relative to the lowest polymorph listed for this composition in meV/atom: 0
Formation energy from the elements in eV per formula unit: 0.81

---

Material: AlPIr
Method: DFT, GGA-PBE
State: optimized geometry

Lattice parameters (Å, degrees): 6.731 6.731 3.428 90.00 90.00 120.00
Fractional positions:
Al  0.000  0.727  0.000
Al  0.273  0.273  0.000
Al  0.727  0.000  0.000
P  0.000  0.389  0.500
P  0.611  0.611  0.500
P  0.389  0.000  0.500
Ir  0.667  0.333  0.000
Ir  0.333  0.667  0.000
Ir  0.000  0.000  0.500

Formation energy from the elements in eV per formula unit: -0.79

---

Material: Ac2PuCuO6
Method: DFT, GGA-PBE
State: optimized geometry

Lattice parameters (Å, degrees): 4.790 5.709 5.709 90.00 90.00 90.00
Each line ends with the local moment (μB).
Fractional positions:
Ac  0.048  0.500  0.000  0.01
Ac  0.048  0.000  0.500  0.01
Pu  0.615  0.000  0.000  3.79
Cu  0.593  0.500  0.500  -0.41
O  0.709  0.252  0.252  -0.09
O  0.709  0.252  0.748  -0.09
O  0.173  0.500  0.500  -0.08
O  0.132  0.000  0.000  -0.03
O  0.709  0.748  0.748  -0.09
O  0.709  0.748  0.252  -0.09

---

Material: CdHgTe2
Method: DFT, GGA-PBE
State: optimized geometry

Lattice parameters (Å, degrees): 5.905 3.248 5.910 90.01 90.00 90.00
Fractional positions:
Te  0.000  0.990  0.875
Te  0.500  0.511  0.375
Hg  0.500  0.751  0.875
Cd  0.000  0.248  0.375

Energy relative to the lowest polymorph listed for this composition in meV/atom: 239

---

no.,uncorrected energy (eV per atom),DOS(E_F) (states/eV per cell)
1,-5.425,2.729
2,-6.268,2.514
3,-8.157,5.324
4,-1.948,1.294